# 1
VASP calculation (GGA-PBE) on crystalline Re3AsS at its relaxed geometry.

Cell: 4.399 4.399 4.399 Å, 90.00 90.00 90.00°
Atoms (fractional coordinates):
Re 0.000 0.000 0.500
Re 0.000 0.500 0.000
Re 0.500 0.000 0.000
As 0.500 0.500 0.500
S 0.000 0.000 0.000

Summary:
* offset from the most stable computed form: 0.0 meV per atom
* space-group type: Pm-3m
* E: -40.1 eV per formula unit
* uncorrected formation energy: 1.2117 eV per atom


# 2
VASP calculation (GGA-PBE) on crystalline TbHo5S6 at its relaxed geometry.

Cell: 6.753 6.753 6.727 Å, 99.68 99.68 120.15°
Atoms (fractional coordinates):
Tb 0.000 0.000 0.000
Ho 0.165 0.835 0.500
Ho 0.334 0.666 0.000
Ho 0.500 0.500 0.500
Ho 0.666 0.334 0.000
Ho 0.835 0.165 0.500
S 0.084 0.420 0.252
S 0.252 0.252 0.749
S 0.420 0.084 0.252
S 0.580 0.916 0.748
S 0.748 0.748 0.251
S 0.916 0.580 0.748

Summary:
* space-group type: C2/m
* E: -76.1 eV per formula unit
* uncorrected formation energy: -1.9828 eV per atom


# 3
VASP calculation (GGA-PBE) on crystalline Li2Mg3CuSn3 at its relaxed geometry.

Cell: 7.996 7.996 3.327 Å, 90.00 90.00 120.00°
Atoms (fractional coordinates):
Li 0.333 0.667 0.000
Li 0.667 0.333 0.000
Mg 0.000 0.730 0.000
Mg 0.270 0.270 0.000
Mg 0.730 0.000 0.000
Cu 0.000 0.000 0.500
Sn 0.000 0.367 0.500
Sn 0.367 0.000 0.500
Sn 0.633 0.633 0.500

Summary:
* space-group type: P-62m
* E: -26.3 eV per formula unit
* E_form: -1.626 eV per formula unit


# 4
VASP calculation (GGA-PBE) on crystalline HgAuN2 at its relaxed geometry.

Cell: 3.025 4.632 16.088 Å, 89.83 84.84 89.70°
Atoms (fractional coordinates):
Hg 0.160 0.252 0.174
Hg 0.840 0.748 0.826
Au 0.000 0.000 0.000
Au 0.500 0.500 0.000
N 0.443 0.369 0.603
N 0.457 0.129 0.603
N 0.543 0.871 0.397
N 0.557 0.631 0.397

Summary:
* space-group type: P-1
* E: -19.9 eV per formula unit
* uncorrected formation energy: 0.0917 eV per atom


# 5
VASP calculation (GGA-PBE) on crystalline ReCCl3 at its relaxed geometry.

Cell: 4.745 4.745 4.745 Å, 90.00 90.00 90.00°
Atoms (fractional coordinates):
Re 0.000 0.000 0.000
C 0.500 0.500 0.500
Cl 0.000 0.000 0.500
Cl 0.000 0.500 0.000
Cl 0.500 0.000 0.000

Summary:
* offset from the most stable computed form: 0.0 meV per atom
* space-group type: Pm-3m
* E: -19.0 eV per formula unit
* uncorrected formation energy: 1.6504 eV per atom


# 6
VASP calculation (GGA-PBE) on crystalline GaIr2C at its relaxed geometry.

Cell: 4.241 4.241 5.810 Å, 90.00 90.00 94.70°
Atoms (fractional coordinates):
Ga 0.000 0.000 0.000
Ga 0.500 0.500 0.000
Ir 0.000 0.500 0.264
Ir 0.000 0.500 0.736
Ir 0.500 0.000 0.264
Ir 0.500 0.000 0.736
C 0.118 0.882 0.500
C 0.882 0.118 0.500

Summary:
* offset from the most stable computed form: 121.8 meV per atom
* space-group type: Cmmm
* E: -29.3 eV per formula unit
* E_form: 0.685 eV per formula unit


# 7
VASP calculation (GGA-PBE) on crystalline BAsPd at its relaxed geometry.

Cell: 6.747 6.747 5.131 Å, 112.09 112.09 24.92°
Atoms (fractional coordinates):
B 0.205 0.205 0.435
B 0.795 0.795 0.565
As 0.096 0.096 0.011
As 0.904 0.904 0.989
Pd 0.357 0.357 0.343
Pd 0.643 0.643 0.657

Summary:
* offset from the most stable computed form: 37.1 meV per atom
* space-group type: C2/m
* E: -16.5 eV per formula unit
* E_form: 0.015 eV per formula unit


# 8
VASP calculation (GGA-PBE) on crystalline La2PuPd at its relaxed geometry.

Cell: 3.689 3.689 8.403 Å, 90.00 90.00 90.00°
Atoms (fractional coordinates):
La 0.000 0.000 0.212
La 0.000 0.000 0.788
Pu 0.500 0.500 0.500
Pd 0.500 0.500 0.000

Summary:
* offset from the most stable computed form: 0.0 meV per atom
* space-group type: P4/mmm
* E: -30.4 eV per formula unit
* E_form: -1.047 eV per formula unit